## HfFeBO2 (PBE with a Hubbard U)

Data for crystalline HfFeBO2 at its relaxed geometry.

Structure (extended XYZ):
```
5
Lattice="-1.1454 3.3304 -1.0429 -3.1327 -1.6817 -1.9299 -2.0223 0.2612 3.0550" Properties=species:S:1:pos:R:3 pbc="T T T"
O -0.5727 1.6652 -0.5214
O -1.0111 0.1306 1.5275
B 0.0000 0.0000 0.0000
Hf -3.1502 0.9549 0.0411
Fe -1.5664 -0.8409 -0.9650
```

D(E_F) = 2.58 states/eV/cell
crystal system = tetragonal
total moment = 2.18 μB/f.u.
uncorrected energy = -6.36 eV/atom

## HfFe2BO (PBE with a Hubbard U)

Data for crystalline HfFe2BO at its relaxed geometry.

Structure (extended XYZ):
```
5
Lattice="3.9404 0.0000 0.0000 0.0000 4.7259 0.0000 0.0000 0.0000 3.9404" Properties=species:S:1:pos:R:3 pbc="T T T"
O 1.9702 2.3629 1.9702
B 0.0000 0.0000 0.0000
Fe 1.9702 0.0000 0.0000
Fe 0.0000 0.0000 1.9702
Hf 0.0000 2.3629 0.0000
```

D(E_F) = 2.67 states/eV/cell
crystal system = tetragonal
total moment = 6.92 μB/f.u.
uncorrected energy = -6.23 eV/atom